--- a ---
Density functional theory data (GGA-PBE) for LaInH2 after structural relaxation.

Properties
N(E_F)   5.041 states/eV/cell
Total magnetic moment   0.000 μB/cell

a b c (Å): 6.3520 6.3520 6.3520
angles (deg): 90.00 90.00 90.00
Space group Fm-3m (No. 225)
Asymmetric unit:
La: 0.0000 0.0000 0.0000 (multiplicity 4)
In: 0.0000 0.0000 0.5000 (multiplicity 4)
H: 0.2500 0.2500 0.2500 (multiplicity 8)


--- b ---
Density functional theory data (GGA-PBE) for LaInH2 after structural relaxation.

Properties
N(E_F)   4.734 states/eV/cell
Total magnetic moment   0.000 μB/cell

a b c (Å): 4.9872 4.9872 11.8875
angles (deg): 90.00 90.00 90.00
Space group I-42d (No. 122)
Asymmetric unit:
La: 0.0000 0.0000 0.0000 (multiplicity 4)
In: 0.0000 0.0000 0.5000 (multiplicity 4)
H: 0.2228 0.2500 0.1250 (multiplicity 8)


Which structure is the most stable? The one labeled b.


--- a ---
Density functional theory data (GGA-PBE) for LaInH after structural relaxation.

Properties
N(E_F)   14.571 states/eV/cell
Total magnetic moment   0.000 μB/cell

a b c (Å): 4.5191 17.6512 6.6809
angles (deg): 90.00 90.00 90.00
Space group Pmmn (No. 59, origin choice 2)
Asymmetric unit:
La: 0.2500 0.0821 0.1172 (multiplicity 4)
La: 0.2500 0.6489 0.3658 (multiplicity 4)
In: 0.2500 0.0171 0.6322 (multiplicity 4)
In: 0.2500 0.2500 0.8823 (multiplicity 2)
In: 0.2500 0.7500 0.8312 (multiplicity 2)
H: 0.2500 0.1200 0.4766 (multiplicity 4)
H: 0.2500 0.5580 0.0494 (multiplicity 4)


--- b ---
Density functional theory data (GGA-PBE) for LaInH after structural relaxation.

Properties
N(E_F)   3.922 states/eV/cell
Total magnetic moment   0.000 μB/cell

a b c (Å): 3.9286 3.9286 8.5965
angles (deg): 90.00 90.00 90.00
Space group P4/nmm (No. 129, origin choice 2)
Asymmetric unit:
La: 0.2500 0.2500 0.1647 (multiplicity 2)
In: 0.2500 0.2500 0.5802 (multiplicity 2)
H: 0.2500 0.7500 0.0000 (multiplicity 2)


Which structure is the most stable? The one labeled b.